[1]
Entry from Alexandria via LeMat-Bulk: a geometry-optimized HoPaNiIr structure (PBE).

Cell: 3.6802 4.1182 5.8123 Å, 90.00 108.46 90.00°
Fractional positions:
Ir  0.5942  0.5000  0.1884
Pa  0.1247  0.0000  0.2495
Ho  0.8573  0.5000  0.7145
Ni  0.4238  0.0000  0.8476

Computed properties:
- formation enthalpy at 0 K (meV/atom) = -708
- crystal system = orthorhombic
- DFT total energy (eV per formula unit) = -31.5

=====

[2]
Entry from Alexandria via LeMat-Bulk: a geometry-optimized BaDy2Ga structure (PBE).

Cell: 3.6506 3.6506 9.8367 Å, 90.00 90.00 90.00°
Fractional positions:
Ba  0.5000  0.5000  0.5000
Dy  0.0000  0.0000  0.1740
Dy  0.0000  0.0000  0.8260
Ga  0.5000  0.5000  0.0000

Computed properties:
- formation enthalpy at 0 K (meV/atom) = -156
- crystal system = tetragonal
- DFT total energy (eV per formula unit) = -14.8

=====

[3]
Entry from Alexandria via LeMat-Bulk: a geometry-optimized MnZn2CdOs structure (PBE).

Cell: 4.6911 4.9447 4.6911 Å, 90.00 90.00 90.00°
Each line ends with the local moment (μB).
Fractional positions:
Zn  0.5000  0.0000  0.0000  0.00
Zn  0.0000  0.0000  0.5000  -0.03
Os  0.5000  0.5000  0.5000  1.92
Cd  0.0000  0.0000  0.0000  0.00
Mn  0.0000  0.5000  0.0000  3.93

Computed properties:
- formation enthalpy at 0 K (meV/atom) = 1702
- crystal system = tetragonal
- DFT total energy (eV per formula unit) = -15.4

=====

[4]
Entry from Alexandria via LeMat-Bulk: a geometry-optimized La2YTm2 structure (PBE).

Cell: 9.0802 9.0802 6.1054 Å, 117.84 117.84 97.37°
Fractional positions:
Tm  0.6158  0.7499  0.9876
Tm  0.2501  0.3842  0.5124
Y  0.0615  0.9385  0.2500
Tm  0.3842  0.2501  0.0124
La  0.8006  0.1994  0.2500
Y  0.9385  0.0615  0.7500
La  0.6716  0.3284  0.7500
La  0.3284  0.6716  0.2500
Tm  0.7499  0.6158  0.4876
La  0.1994  0.8006  0.7500

Computed properties:
- formation enthalpy at 0 K (meV/atom) = 226
- crystal system = monoclinic
- DFT total energy (eV per formula unit) = -24.1

=====

[5]
Entry from Alexandria via LeMat-Bulk: a geometry-optimized AcY12Tm7 structure (PBE).

Cell: 9.8485 9.8485 9.8485 Å, 109.47 109.47 109.47°
Fractional positions:
Tm  0.0000  0.0000  0.5000
Tm  0.5000  0.5000  0.0000
Y  0.2632  0.2630  0.5262
Y  0.7368  0.2630  0.9998
Y  0.7368  0.7370  0.4738
Tm  0.5000  0.5000  0.5000
Y  0.7370  0.4738  0.7368
Y  0.2630  0.5262  0.2632
Tm  0.0000  0.5000  0.0000
Tm  0.0000  0.5000  0.5000
Y  0.2632  0.7370  0.0002
Y  0.9998  0.7368  0.2630
Tm  0.5000  0.0000  0.5000
Y  0.5262  0.2632  0.2630
Y  0.2630  0.9998  0.7368
Y  0.0002  0.2632  0.7370
Y  0.7370  0.0002  0.2632
Ac  0.0000  0.0000  0.0000
Y  0.4738  0.7368  0.7370
Tm  0.5000  0.0000  0.0000

Computed properties:
- formation enthalpy at 0 K (meV/atom) = 671
- crystal system = cubic
- DFT total energy (eV per formula unit) = -99.5

=====

[6]
Entry from Alexandria via LeMat-Bulk: a geometry-optimized HfAgP2O8 structure (PBE).

Cell: 5.3449 5.3449 6.7951 Å, 90.00 90.00 120.00°
Each line ends with the local moment (μB).
Fractional positions:
P  0.6667  0.3333  0.2359  -0.01
Hf  0.0000  0.0000  0.5000  -0.01
O  0.6468  0.8269  0.6833  0.05
O  0.3532  0.1731  0.3167  0.05
O  0.6667  0.3333  0.0110  0.26
O  0.1731  0.8199  0.6833  0.05
P  0.3333  0.6667  0.7641  -0.01
O  0.8199  0.6468  0.3167  0.05
O  0.8269  0.1801  0.3167  0.05
Ag  0.0000  0.0000  0.0000  0.13
O  0.1801  0.3532  0.6833  0.05
O  0.3333  0.6667  0.9890  0.26

Computed properties:
- crystal system = trigonal
- DFT total energy (eV per formula unit) = -89.0
- uncorrected formation energy (kJ/mol of atoms) = -206.6